Record 1
# Co2Mo2Au

Co2Mo2Au after structural relaxation (PBE-GGA, Alexandria via LeMat-Bulk).

It has space group I4/mmm (No. 139), with a = 3.9055 Å, b = 3.9055 Å, c = 9.9786 Å, α = 90.00°, β = 90.00° and γ = 90.00°. The asymmetric unit holds Co at (0.0000, 0.0000, 0.1067), Mo at (0.0000, 0.5000, 0.2500) and Au at (0.0000, 0.0000, 0.5000).

Its calculated formation energy is 0.3665 eV per atom. As for the energy above the most stable polymorph in this dataset: 25.0 kJ per mole of atoms. Its mass density is 11.06 g/cm3.

Record 2
# CoMoAu2

CoMoAu2 after structural relaxation (PBE-GGA, Alexandria via LeMat-Bulk).

It has space group Pmmm (No. 47), with a = 2.8251 Å, b = 4.6851 Å, c = 4.8475 Å, α = 90.00°, β = 90.00° and γ = 90.00°. The asymmetric unit holds Co at (0.0000, 0.0000, 0.0000), Mo at (0.5000, 0.5000, 0.0000), Au at (0.0000, 0.5000, 0.5000) and Au at (0.5000, 0.0000, 0.5000).

Its calculated formation energy is 0.4954 eV per atom. As for the energy above the most stable polymorph in this dataset: 34.9 kJ per mole of atoms. Its mass density is 14.20 g/cm3.

Record 3
# CoMoAu2

CoMoAu2 after structural relaxation (PBE-GGA, Alexandria via LeMat-Bulk).

It has space group I-4m2 (No. 119), with a = 3.9992 Å, b = 3.9992 Å, c = 7.7610 Å, α = 90.00°, β = 90.00° and γ = 90.00°. The asymmetric unit holds Co at (0.0000, 0.0000, 0.0000), Mo at (0.0000, 0.5000, 0.7500), Au at (0.0000, 0.0000, 0.5000) and Au at (0.0000, 0.5000, 0.2500).

Its calculated formation energy is 0.3490 eV per atom. As for the energy above the most stable polymorph in this dataset: 20.8 kJ per mole of atoms. Its mass density is 14.68 g/cm3.

Record 4
# CoMoAu2

CoMoAu2 after structural relaxation (PBE-GGA, Alexandria via LeMat-Bulk).

It has space group I-42d (No. 122), with a = 7.2189 Å, b = 7.2189 Å, c = 5.2620 Å, α = 90.00°, β = 90.00° and γ = 90.00°. The asymmetric unit holds Co at (0.0000, 0.0000, 0.0000), Mo at (0.0000, 0.0000, 0.5000) and Au at (0.2272, 0.2500, 0.1250).

Its calculated formation energy is 0.8111 eV per atom. As for the energy above the most stable polymorph in this dataset: 65.3 kJ per mole of atoms. Its mass density is 13.29 g/cm3.

Record 5
# CoMoAu

CoMoAu after structural relaxation (PBE-GGA, Alexandria via LeMat-Bulk).

It has space group I4mm (No. 107), with a = 3.1811 Å, b = 3.1811 Å, c = 8.7407 Å, α = 90.00°, β = 90.00° and γ = 90.00°. The asymmetric unit holds Co at (0.0000, 0.0000, 0.0000), Mo at (0.0000, 0.0000, 0.6320) and Au at (0.0000, 0.0000, 0.3240).

Its calculated formation energy is 0.2566 eV per atom. As for the energy above the most stable polymorph in this dataset: 8.9 kJ per mole of atoms. Its mass density is 13.21 g/cm3.

Record 6
# CoMoAu2

CoMoAu2 after structural relaxation (PBE-GGA, Alexandria via LeMat-Bulk).

It has space group F-43m (No. 216), with a = 6.3175 Å, b = 6.3175 Å, c = 6.3175 Å, α = 90.00°, β = 90.00° and γ = 90.00°. The asymmetric unit holds Co at (0.0000, 0.0000, 0.0000), Mo at (0.2500, 0.2500, 0.7500), Au at (0.0000, 0.0000, 0.5000) and Au at (0.2500, 0.2500, 0.2500).

Its calculated formation energy is 0.4345 eV per atom. As for the energy above the most stable polymorph in this dataset: 29.0 kJ per mole of atoms. Its mass density is 14.46 g/cm3.

Record 7
# Co2Mo2Au

Co2Mo2Au after structural relaxation (PBE-GGA, Alexandria via LeMat-Bulk).

It has space group P4/mbm (No. 127), with a = 7.1959 Å, b = 7.1959 Å, c = 2.7177 Å, α = 90.00°, β = 90.00° and γ = 90.00°. The asymmetric unit holds Co at (0.1239, 0.3761, 0.0000), Mo at (0.1685, 0.6685, 0.5000) and Au at (0.0000, 0.0000, 0.0000).

Its calculated formation energy is 0.1077 eV per atom. As for the energy above the most stable polymorph in this dataset: 0.0 kJ per mole of atoms. Its mass density is 11.96 g/cm3.

Record 8
# CoMoAu4

CoMoAu4 after structural relaxation (PBE-GGA, Alexandria via LeMat-Bulk).

It has space group F-43m (No. 216), with a = 7.6358 Å, b = 7.6358 Å, c = 7.6358 Å, α = 90.00°, β = 90.00° and γ = 90.00°. The asymmetric unit holds Co at (0.0000, 0.0000, 0.0000), Mo at (0.2500, 0.2500, 0.7500) and Au at (0.1252, 0.1252, 0.3748).

Its calculated formation energy is 0.7396 eV per atom. Its mass density is 14.06 g/cm3.

Record 9
# CoMoAu2

CoMoAu2 after structural relaxation (PBE-GGA, Alexandria via LeMat-Bulk).

It has space group R-3m (No. 166, hexagonal axes), with a = 2.8382 Å, b = 2.8382 Å, c = 27.2595 Å, α = 90.00°, β = 90.00° and γ = 120.00°. The asymmetric unit holds Co at (0.0000, 0.0000, 0.0000), Mo at (0.0000, 0.0000, 0.5000) and Au at (0.0000, 0.0000, 0.2536).

Its calculated formation energy is 0.3748 eV per atom. As for the energy above the most stable polymorph in this dataset: 23.3 kJ per mole of atoms. Its mass density is 14.38 g/cm3.

Record 10
# CoMo4Au

CoMo4Au after structural relaxation (PBE-GGA, Alexandria via LeMat-Bulk).

It has space group F-43m (No. 216), with a = 7.3175 Å, b = 7.3175 Å, c = 7.3175 Å, α = 90.00°, β = 90.00° and γ = 90.00°. The asymmetric unit holds Co at (0.0000, 0.0000, 0.0000), Mo at (0.1251, 0.1251, 0.3749) and Au at (0.2500, 0.2500, 0.7500).

Its calculated formation energy is 0.5098 eV per atom. Its mass density is 10.84 g/cm3.

Record 11
# NaCoMo2Au

NaCoMo2Au after structural relaxation (PBE-GGA, Alexandria via LeMat-Bulk).

It has space group P4/mmm (No. 123), with a = 5.1653 Å, b = 5.1653 Å, c = 4.8058 Å, α = 90.00°, β = 90.00° and γ = 90.00°. The asymmetric unit holds Na at (0.0000, 0.0000, 0.0000), Co at (0.5000, 0.5000, 0.0000), Mo at (0.0000, 0.5000, 0.5000) and Au at (0.5000, 0.5000, 0.5000).

Its calculated formation energy is 1.8876 eV per atom. Its mass density is 6.10 g/cm3.

Record 12
# ZnCo2MoAu

ZnCo2MoAu after structural relaxation (PBE-GGA, Alexandria via LeMat-Bulk).

It has space group P4/mmm (No. 123), with a = 4.3349 Å, b = 4.3349 Å, c = 4.5821 Å, α = 90.00°, β = 90.00° and γ = 90.00°. The asymmetric unit holds Zn at (0.0000, 0.0000, 0.0000), Co at (0.0000, 0.5000, 0.0000), Mo at (0.5000, 0.5000, 0.5000) and Au at (0.0000, 0.0000, 0.5000).

Its calculated formation energy is 1.3105 eV per atom. Its mass density is 9.18 g/cm3.